Entry 1:
A geometry-optimized B4OsPb structure. Source: OQMD via LeMat-Bulk, functional PBE.

Structure (POSCAR):
```
B4OsPb
1.0
-1.508 2.797 3.847
1.508 -2.797 3.847
1.508 2.797 -3.847
B Os Pb
4 1 1
direct
0.078 0.235 0.843
0.392 0.235 0.157
0.608 0.765 0.843
0.922 0.765 0.157
0.000 0.500 0.500
0.500 0.000 0.500
```

## Properties
Crystal system: orthorhombic
SG: Immm, No. 71
Energy above the most stable polymorph in this dataset: 340 meV per atom
Uncorrected energy: -6.0756 eV per atom

Entry 2:
A geometry-optimized BOsPd structure. Source: OQMD via LeMat-Bulk, functional PBE.

Structure (POSCAR):
```
BOsPd
1.0
0.000 2.808 2.808
2.808 0.000 2.808
2.808 2.808 0.000
B Os Pd
1 1 1
direct
0.000 0.000 0.000
0.250 0.250 0.250
0.500 0.500 0.500
```

## Properties
Crystal system: cubic
SG: F-43m, No. 216
Uncorrected energy: -6.5667 eV per atom

Entry 3:
A geometry-optimized B4OsPd structure. Source: OQMD via LeMat-Bulk, functional PBE.

Structure (POSCAR):
```
B4OsPd
1.0
-1.499 2.698 3.343
1.499 -2.698 3.343
1.499 2.698 -3.343
B Os Pd
4 1 1
direct
0.086 0.249 0.837
0.413 0.249 0.163
0.587 0.751 0.837
0.914 0.751 0.163
0.500 0.000 0.500
0.000 0.500 0.500
```

## Properties
Crystal system: orthorhombic
SG: Immm, No. 71
Energy above the most stable polymorph in this dataset: 0 meV per atom
Uncorrected energy: -6.8003 eV per atom

Entry 4:
A geometry-optimized BOsPd2 structure. Source: OQMD via LeMat-Bulk, functional PBE.

Structure (POSCAR):
```
BOsPd2
1.0
0.000 2.969 2.969
2.969 0.000 2.969
2.969 2.969 0.000
B Os Pd
1 1 2
direct
0.000 0.000 0.000
0.250 0.250 0.250
0.500 0.500 0.500
0.750 0.750 0.750
```

## Properties
Crystal system: cubic
SG: F-43m, No. 216
Uncorrected energy: -6.3713 eV per atom

Entry 5:
A geometry-optimized B4OsPd structure. Source: OQMD via LeMat-Bulk, functional PBE.

Structure (POSCAR):
```
B4OsPd
1.0
3.007 0.000 0.000
-1.503 2.604 0.000
0.000 0.000 7.066
B Os Pd
4 1 1
direct
0.333 0.667 0.235
0.333 0.667 0.765
0.667 0.333 0.235
0.667 0.333 0.765
0.000 0.000 0.000
0.000 0.000 0.500
```

## Properties
Crystal system: hexagonal
SG: P6/mmm, No. 191
Energy above the most stable polymorph in this dataset: 26 meV per atom
Uncorrected energy: -6.7744 eV per atom

Entry 6:
A geometry-optimized PmB4Os structure. Source: OQMD via LeMat-Bulk, functional PBE.

Structure (POSCAR):
```
PmB4Os
1.0
3.252 0.000 0.000
-1.626 2.816 0.000
0.000 0.000 6.927
Pm B Os
1 4 1
direct
0.000 0.000 0.000
0.333 0.667 0.292
0.333 0.667 0.708
0.667 0.333 0.292
0.667 0.333 0.708
0.000 0.000 0.500
```

## Properties
Crystal system: hexagonal
SG: P6/mmm, No. 191
Energy above the most stable polymorph in this dataset: 0 meV per atom
Uncorrected energy: -7.1515 eV per atom

Entry 7:
A geometry-optimized Pm2B4Os5 structure. Source: OQMD via LeMat-Bulk, functional PBE.

Structure (POSCAR):
```
Pm2B4Os5
1.0
0.000 5.004 5.745
2.735 0.000 5.745
2.735 5.004 0.000
Pm B Os
2 4 5
direct
0.143 0.143 0.857
0.857 0.857 0.143
0.210 0.523 0.477
0.477 0.790 0.210
0.523 0.210 0.790
0.790 0.477 0.523
0.000 0.000 0.500
0.250 0.250 0.250
0.500 0.500 0.000
0.500 0.500 0.500
0.750 0.750 0.750
```

## Properties
Crystal system: orthorhombic
SG: Fmmm, No. 69
Uncorrected energy: -8.7382 eV per atom

Entry 8:
A geometry-optimized PmB4Os structure. Source: OQMD via LeMat-Bulk, functional PBE.

Structure (POSCAR):
```
PmB4Os
1.0
-1.592 2.699 3.712
1.592 -2.699 3.712
1.592 2.699 -3.712
Pm B Os
1 4 1
direct
0.000 0.000 0.000
0.087 0.752 0.335
0.416 0.752 0.665
0.584 0.248 0.335
0.913 0.248 0.665
0.500 0.500 0.000
```

## Properties
Crystal system: orthorhombic
SG: Immm, No. 71
Energy above the most stable polymorph in this dataset: 99 meV per atom
Uncorrected energy: -7.0527 eV per atom

Entry 9:
A geometry-optimized Pm2B3Os2 structure. Source: OQMD via LeMat-Bulk, functional PBE.

Structure (POSCAR):
```
Pm2B3Os2
1.0
5.421 -2.015 0.000
5.421 2.015 0.000
-1.430 0.000 5.471
Pm B Os
2 3 2
direct
0.096 0.096 0.309
0.904 0.904 0.691
0.176 0.176 0.808
0.500 0.500 0.000
0.824 0.824 0.192
0.340 0.340 0.110
0.660 0.660 0.890
```

## Properties
Crystal system: monoclinic
SG: C2/m, No. 12
Uncorrected energy: -7.8185 eV per atom

Entry 10:
A geometry-optimized PrBOs structure. Source: OQMD via LeMat-Bulk, functional PBE.

Structure (POSCAR):
```
PrBOs
1.0
0.000 3.004 3.004
3.004 0.000 3.004
3.004 3.004 0.000
Pr B Os
1 1 1
direct
0.000 0.000 0.000
0.750 0.750 0.750
0.500 0.500 0.500
```

## Properties
Crystal system: cubic
SG: F-43m, No. 216
Energy above the most stable polymorph in this dataset: 0 meV per atom
Uncorrected energy: -6.9915 eV per atom

Entry 11:
A geometry-optimized PrBOs structure. Source: OQMD via LeMat-Bulk, functional PBE.

Structure (POSCAR):
```
PrBOs
1.0
0.000 3.212 3.212
3.212 0.000 3.212
3.212 3.212 0.000
Pr B Os
1 1 1
direct
0.000 0.000 0.000
0.750 0.750 0.750
0.250 0.250 0.250
```

## Properties
Crystal system: cubic
SG: F-43m, No. 216
Energy above the most stable polymorph in this dataset: 1291 meV per atom
Uncorrected energy: -5.7008 eV per atom

Entry 12:
A geometry-optimized PrSmB4Os4 structure. Source: OQMD via LeMat-Bulk, functional PBE.

Structure (POSCAR):
```
PrSmB4Os4
1.0
0.000 4.559 5.018
3.315 0.000 5.018
3.315 4.559 0.000
Pr Sm B Os
1 1 4 4
direct
0.000 0.000 0.000
0.250 0.250 0.250
0.315 0.685 0.315
0.563 0.937 0.563
0.685 0.315 0.685
0.937 0.563 0.937
0.363 0.363 0.637
0.614 0.614 0.886
0.637 0.637 0.363
0.886 0.886 0.614
```

## Properties
Crystal system: orthorhombic
SG: F222, No. 22
Uncorrected energy: -8.5461 eV per atom

Entry 13:
A geometry-optimized Pr2Tc2B5Os structure. Source: OQMD via LeMat-Bulk, functional PBE.

Structure (POSCAR):
```
Pr2Tc2B5Os
1.0
5.367 -2.031 0.000
5.367 2.031 0.000
-4.886 0.000 6.683
Pr Tc B Os
2 2 5 1
direct
0.167 0.167 0.264
0.833 0.833 0.736
0.389 0.348 0.099
0.652 0.611 0.901
0.157 0.134 0.808
0.265 0.694 0.383
0.306 0.735 0.617
0.500 0.500 0.000
0.866 0.843 0.192
0.792 0.208 0.500
```

## Properties
Crystal system: monoclinic
SG: C2, No. 5
Uncorrected energy: -7.9308 eV per atom

Entry 14:
A geometry-optimized Pr2B5OsW2 structure. Source: OQMD via LeMat-Bulk, functional PBE.

Structure (POSCAR):
```
Pr2B5OsW2
1.0
5.431 -2.033 0.000
5.431 2.033 0.000
-5.058 0.000 6.841
Pr B Os W
2 5 1 2
direct
0.165 0.165 0.269
0.835 0.835 0.731
0.163 0.124 0.793
0.272 0.687 0.386
0.313 0.728 0.614
0.504 0.496 0.000
0.876 0.837 0.207
0.795 0.205 0.500
0.387 0.337 0.096
0.663 0.613 0.904
```

## Properties
Crystal system: monoclinic
SG: C2, No. 5
Uncorrected energy: -8.3386 eV per atom

Entry 15:
A geometry-optimized BOsPt structure. Source: OQMD via LeMat-Bulk, functional PBE.

Structure (POSCAR):
```
BOsPt
1.0
0.000 2.831 2.831
2.831 0.000 2.831
2.831 2.831 0.000
B Os Pt
1 1 1
direct
0.000 0.000 0.000
0.250 0.250 0.250
0.500 0.500 0.500
```

## Properties
Crystal system: cubic
SG: F-43m, No. 216
Uncorrected energy: -6.9716 eV per atom

Entry 16:
A geometry-optimized BOsPt2 structure. Source: OQMD via LeMat-Bulk, functional PBE.

Structure (POSCAR):
```
BOsPt2
1.0
0.000 3.010 3.010
3.010 0.000 3.010
3.010 3.010 0.000
B Os Pt
1 1 2
direct
0.000 0.000 0.000
0.250 0.250 0.250
0.500 0.500 0.500
0.750 0.750 0.750
```

## Properties
Crystal system: cubic
SG: F-43m, No. 216
Uncorrected energy: -6.7226 eV per atom

Entry 17:
A geometry-optimized B4OsPt structure. Source: OQMD via LeMat-Bulk, functional PBE.

Structure (POSCAR):
```
B4OsPt
1.0
3.018 0.000 0.000
-1.509 2.614 0.000
0.000 0.000 7.081
B Os Pt
4 1 1
direct
0.333 0.667 0.236
0.333 0.667 0.764
0.667 0.333 0.236
0.667 0.333 0.764
0.000 0.000 0.000
0.000 0.000 0.500
```

## Properties
Crystal system: hexagonal
SG: P6/mmm, No. 191
Energy above the most stable polymorph in this dataset: 6 meV per atom
Uncorrected energy: -6.7815 eV per atom

Entry 18:
A geometry-optimized BOs2Pt structure. Source: OQMD via LeMat-Bulk, functional PBE.

Structure (POSCAR):
```
BOs2Pt
1.0
0.000 3.005 3.005
3.005 0.000 3.005
3.005 3.005 0.000
B Os Pt
1 2 1
direct
0.000 0.000 0.000
0.500 0.500 0.500
0.750 0.750 0.750
0.250 0.250 0.250
```

## Properties
Crystal system: cubic
SG: F-43m, No. 216
Uncorrected energy: -7.7334 eV per atom

Entry 19:
A geometry-optimized B4OsPt structure. Source: OQMD via LeMat-Bulk, functional PBE.

Structure (POSCAR):
```
B4OsPt
1.0
-1.482 2.749 3.377
1.482 -2.749 3.377
1.482 2.749 -3.377
B Os Pt
4 1 1
direct
0.086 0.248 0.838
0.410 0.248 0.162
0.590 0.752 0.838
0.914 0.752 0.162
0.500 0.000 0.500
0.000 0.500 0.500
```

## Properties
Crystal system: orthorhombic
SG: Immm, No. 71
Energy above the most stable polymorph in this dataset: 0 meV per atom
Uncorrected energy: -6.7872 eV per atom

Entry 20:
A geometry-optimized PuB4Os structure. Source: OQMD via LeMat-Bulk, functional PBE.

Structure (POSCAR):
```
PuB4Os
1.0
3.683 -4.718 0.000
3.683 4.718 0.000
0.000 0.000 3.530
Pu B Os
2 8 2
direct
0.200 0.800 0.000
0.800 0.200 0.000
0.120 0.437 0.500
0.123 0.123 0.500
0.408 0.592 0.500
0.437 0.120 0.500
0.563 0.880 0.500
0.592 0.408 0.500
0.877 0.877 0.500
0.880 0.563 0.500
0.316 0.316 0.000
0.684 0.684 0.000
```

## Properties
Crystal system: orthorhombic
SG: Cmmm, No. 65
Uncorrected energy: -9.1951 eV per atom